MnCl3F after structural relaxation. Source: Alexandria via LeMat-Bulk, functional PBE with a Hubbard U.

Output
- Final energy: -14.70 eV per formula unit
- Space group: Pm-3m, No. 221
- Polymorph energy (0 for the lowest one): 1.1124 eV per atom
- DOS at the Fermi energy: 0.571 states/eV per atom

Lattice parameters (Å, degrees): 4.6812 4.6812 4.6812 90.00 90.00 90.00
Closest atoms and distances in Å follow each position.
Atoms (fractional coordinates):
1 Cl 0.5000 0.0000 0.0000  2 F 2.34
2 Cl 0.0000 0.0000 0.5000  2 F 2.34
3 Cl 0.0000 0.5000 0.0000  2 F 2.34
4 F 0.0000 0.0000 0.0000  6 Cl 2.34
5 Mn 0.5000 0.5000 0.5000  12 Cl 3.31